Crystalline LiNiPCO7 at its relaxed geometry. Source: Alexandria via LeMat-Bulk, functional PBE+U.

Computed properties:
DOS at the Fermi energy: 4.25 states/eV per cell
Symmetry: P2_1 (4)
E: -70.145 eV per formula unit
Theoretical density: 2.64 Mg/m³
Total moment: 0.016 μB per formula unit

a = 6.328 Å, b = 5.113 Å, c = 8.599 Å
α = 85.71°, β = 90.00°, γ = 90.00°
Last column: magnetic moment on the atom in μB.
Atoms (fractional coordinates):
O (0.229, 0.150, 0.415)  -0.11
O (0.057, 0.214, 0.681)  -0.28
P (0.247, 0.278, 0.571)  0.03
O (0.778, 0.301, 0.081)  -0.23
Ni (0.748, 0.208, 0.661)  1.51
O (0.278, 0.699, 0.919)  -0.23
P (0.747, 0.722, 0.429)  0.03
O (0.228, 0.536, 0.166)  -0.21
O (0.768, 0.421, 0.463)  -0.14
O (0.729, 0.850, 0.585)  -0.11
Li (0.021, 0.220, 0.223)  0.00
C (0.748, 0.270, 0.940)  0.02
O (0.268, 0.579, 0.537)  -0.14
O (0.740, 0.041, 0.884)  -0.20
C (0.248, 0.730, 0.060)  0.02
O (0.557, 0.786, 0.319)  -0.28
Ni (0.248, 0.792, 0.339)  1.51
O (0.728, 0.464, 0.834)  -0.21
O (0.433, 0.168, 0.672)  -0.18
O (0.933, 0.832, 0.328)  -0.18
Li (0.521, 0.780, 0.777)  0.00
O (0.240, 0.959, 0.116)  -0.20